## TmInAgAu (GGA-PBE)

Data for crystalline TmInAgAu at its relaxed geometry.

Lattice parameters (Å, degrees): 4.902 4.902 4.902 60.00 60.00 60.00
Fractional coordinates of all 4 atoms:
Tm (0.000, 0.000, 0.000)
In (0.500, 0.500, 0.500)
Ag (0.250, 0.250, 0.250)
Au (0.750, 0.750, 0.750)

Computed properties:
Formation enthalpy at 0 K in kJ per mole of atoms: -51
E in eV/atom: -3.87